DFT (GGA-PBE) results for an optimized crystal structure of Na2ZrNbO6.

## Properties
- ΔE_f (raw): -2377 meV/atom
- Calculated density: 4.07 Mg/m³

Cell: 5.779 5.779 5.779 Å, 58.86 58.86 58.86°
Element x y z (fractional)
Na  0.000  0.000  0.000
Na  0.500  0.500  0.500
Zr  0.735  0.735  0.735
Nb  0.239  0.239  0.239
O  0.051  0.923  0.466
O  0.406  0.543  0.980
O  0.466  0.051  0.923
O  0.543  0.980  0.406
O  0.923  0.466  0.051
O  0.980  0.406  0.543